Entry 1:
LiSmZnPd3 | PBE | optimized geometry

The value obtained for the energy of formation is -0.50 eV/atom. The spin magnetization comes out at 0.00 μB per cell.

It has space group Cmcm (No. 63), with a = 5.7477 Å, b = 12.8215 Å, c = 5.8338 Å, α = 90.00°, β = 90.00° and γ = 90.00°. The inequivalent atoms are Li at (0.0000, 0.1084, 0.2500), Sm at (0.0000, 0.3308, 0.2500), Zn at (0.0000, 0.3706, 0.7500), Pd at (0.0000, 0.1697, 0.7500) and Pd at (0.2497, 0.0000, 0.0000).

***

Entry 2:
TiCOF2 | PBE | optimized geometry

For the formation energy (no corrections), the calculation gives -160 meV/atom. The spin magnetization comes out at 1.50 μB per cell.

It has space group P4/mmm (No. 123), with a = 4.2920 Å, b = 4.2920 Å, c = 2.9622 Å, α = 90.00°, β = 90.00° and γ = 90.00°. The inequivalent atoms are Ti at (0.0000, 0.0000, 0.0000), C at (0.5000, 0.5000, 0.5000), O at (0.5000, 0.5000, 0.0000) and F at (0.0000, 0.5000, 0.5000).